(1)
MnNiW3: relaxed, PBE.

Summary:
* total magnetization: 0.00 μB/f.u.
* energy relative to the lowest polymorph listed for this composition: 0.3590 eV per atom
* SG: No. 221

Cell and atoms, written as POSCAR:
```
MnNiW3
1.0
4.420 0.000 0.000
0.000 4.420 0.000
0.000 0.000 4.420
Mn Ni W
1 1 3
Direct
0.000 0.000 0.000
0.500 0.500 0.500
0.000 0.500 0.500
0.500 0.000 0.500
0.500 0.500 0.000
```

---

(2)
MgCd2Ga6: relaxed, PBE.

Summary:
* total magnetization: 0.00 μB/f.u.
* energy relative to the lowest polymorph listed for this composition: 0.0066 eV per atom
* SG: No. 162

Cell and atoms, written as POSCAR:
```
MgCd2Ga6
1.0
8.550 0.000 0.000
-4.275 7.404 0.000
0.000 0.000 2.918
Mg Cd Ga
1 2 6
Direct
0.000 0.000 0.000
0.333 0.667 0.500
0.667 0.333 0.500
0.000 0.323 0.483
0.000 0.677 0.517
0.323 0.000 0.483
0.323 0.323 0.517
0.677 0.000 0.517
0.677 0.677 0.483
```

---

(3)
Nb2IrAu: relaxed, PBE.

Summary:
* total magnetization: 0.00 μB/f.u.
* SG: No. 122

Cell and atoms, written as POSCAR:
```
Nb2IrAu
1.0
3.976 0.000 0.000
0.000 3.976 0.000
0.000 0.000 18.727
Nb Ir Au
8 4 4
Direct
0.242 0.250 0.125
0.250 0.742 0.375
0.250 0.758 0.875
0.258 0.250 0.625
0.742 0.750 0.625
0.750 0.242 0.875
0.750 0.258 0.375
0.758 0.750 0.125
0.000 0.000 0.000
0.000 0.500 0.250
0.500 0.000 0.750
0.500 0.500 0.500
0.000 0.000 0.500
0.000 0.500 0.750
0.500 0.000 0.250
0.500 0.500 0.000
```

---

Number 1: uncorrected energy -44.6 eV per cell, energy of formation from the pure elements 1.850 eV/atom, DOS(E_F) 12.804 states/eV/cell. Number 2: uncorrected energy -21.2 eV per cell, energy of formation from the pure elements 0.038 eV/atom, DOS(E_F) 3.594 states/eV/cell. Number 3: uncorrected energy -123.3 eV per cell, energy of formation from the pure elements 0.365 eV/atom, DOS(E_F) 19.499 states/eV/cell.